{"formula": "Li2PuZnO4", "functional": "GGA-PBE", "state": "optimized geometry", "lattice": [[4.480, 0.000, 0.000], [0.000, 4.480, 0.000], [0.000, 0.000, 8.812]], "species": ["Li", "Li", "Li", "Li", "Pu", "Pu", "Zn", "Zn", "O", "O", "O", "O", "O", "O", "O", "O"], "fractional_positions": [[0.000, 0.000, 0.000], [0.000, 0.500, 0.250], [0.500, 0.000, 0.750], [0.500, 0.500, 0.500], [0.000, 0.500, 0.750], [0.500, 0.000, 0.250], [0.000, 0.000, 0.500], [0.500, 0.500, 0.000], [0.000, 0.000, 0.258], [0.000, 0.000, 0.742], [0.000, 0.500, 0.503], [0.000, 0.500, 0.997], [0.500, 0.000, 0.003], [0.500, 0.000, 0.497], [0.500, 0.500, 0.242], [0.500, 0.500, 0.758]], "density_g_cm3": 7.3, "e_form_raw_ev_per_atom": -2.152}